1.
## PrHgSeO (PBE)

Data for a geometry-optimized PrHgSeO structure.

Cell lengths 6.057, 6.145, 9.226 Å; angles 90.00, 77.96, 90.00 degrees
Fractional positions:
Hg 0.497 0.784 0.001
Hg 0.997 0.716 0.001
Hg 0.003 0.284 0.999
Hg 0.503 0.216 0.999
O 0.000 0.748 0.500
O 0.500 0.752 0.500
O 0.500 0.248 0.500
O 0.000 0.252 0.500
Pr 0.788 0.500 0.382
Pr 0.288 0.000 0.382
Pr 0.212 0.500 0.618
Pr 0.712 0.000 0.618
Se 0.359 0.499 0.225
Se 0.859 0.001 0.225
Se 0.141 0.999 0.775
Se 0.641 0.501 0.775

Calculated values
The relative energy among the computed polymorphs comes out at 0.011 eV/atom. The volume comes out at 20.99 A^3/atom.

=====

2.
## TaCuSnHg (PBE)

Data for a geometry-optimized TaCuSnHg structure.

Cell lengths 4.791, 4.791, 4.791 Å; angles 60.00, 60.00, 60.00 degrees
Fractional positions:
Cu 0.750 0.750 0.750
Hg 0.250 0.250 0.250
Sn 0.000 0.000 0.000
Ta 0.500 0.500 0.500

Calculated values
The relative energy among the computed polymorphs comes out at 0.172 eV/atom. The volume comes out at 19.44 A^3/atom.

=====

3.
## LiHfPt2 (PBE)

Data for a geometry-optimized LiHfPt2 structure.

Cell lengths 4.339, 4.339, 8.254 Å; angles 90.00, 90.00, 120.00 degrees
Fractional positions:
Hf 0.667 0.333 0.250
Hf 0.333 0.667 0.750
Li 0.000 0.000 0.250
Li 0.000 0.000 0.750
Pt 0.333 0.667 0.087
Pt 0.333 0.667 0.413
Pt 0.667 0.333 0.587
Pt 0.667 0.333 0.913

Calculated values
The relative energy among the computed polymorphs comes out at 0.389 eV/atom. The volume comes out at 16.82 A^3/atom.

=====

4.
## BaPrNO (PBE)

Data for a geometry-optimized BaPrNO structure.

Cell lengths 5.307, 5.307, 5.513 Å; angles 90.00, 90.00, 90.00 degrees
Fractional positions:
Ba 0.750 0.750 0.002
Ba 0.250 0.250 0.998
N 0.250 0.250 0.497
N 0.750 0.750 0.503
O 0.750 0.250 0.000
O 0.250 0.750 0.000
Pr 0.750 0.250 0.500
Pr 0.250 0.750 0.500

Calculated values
The relative energy among the computed polymorphs comes out at 0.146 eV/atom. The volume comes out at 19.41 A^3/atom.

=====

5.
## La2TlCd (PBE)

Data for a geometry-optimized La2TlCd structure.

Cell lengths 5.529, 5.529, 5.529 Å; angles 60.00, 60.00, 60.00 degrees
Fractional positions:
Cd 0.250 0.250 0.250
La 0.000 0.000 0.000
La 0.750 0.750 0.750
Tl 0.500 0.500 0.500

Calculated values
The relative energy among the computed polymorphs comes out at 0.383 eV/atom. The volume comes out at 29.88 A^3/atom.

=====

6.
## IrF4 (PBE)

Data for a geometry-optimized IrF4 structure.

Cell lengths 4.397, 4.414, 5.448 Å; angles 112.14, 100.45, 96.62 degrees
Fractional positions:
F 0.960 0.272 0.069
F 0.520 0.524 0.216
F 0.407 0.077 0.327
F 0.943 0.243 0.497
F 0.057 0.757 0.503
F 0.593 0.923 0.673
F 0.480 0.476 0.784
F 0.040 0.728 0.931
Ir 0.722 0.903 0.149
Ir 0.278 0.097 0.851

Calculated values
The relative energy among the computed polymorphs comes out at 0.380 eV/atom. The volume comes out at 9.43 A^3/atom.

=====

7.
## CsLuPb (PBE)

Data for a geometry-optimized CsLuPb structure.

Cell lengths 5.618, 5.618, 5.618 Å; angles 60.00, 60.00, 60.00 degrees
Fractional positions:
Cs 0.000 0.000 0.000
Lu 0.250 0.250 0.250
Pb 0.750 0.750 0.750

Calculated values
The relative energy among the computed polymorphs comes out at 0.541 eV/atom. The volume comes out at 41.80 A^3/atom.

=====

8.
## ReB4As (PBE)

Data for a geometry-optimized ReB4As structure.

Cell lengths 2.920, 2.920, 8.425 Å; angles 90.00, 90.00, 120.00 degrees
Fractional positions:
As 0.000 0.000 0.500
B 0.667 0.333 0.203
B 0.333 0.667 0.203
B 0.667 0.333 0.797
B 0.333 0.667 0.797
Re 0.000 0.000 0.000

Calculated values
The relative energy among the computed polymorphs comes out at 0.000 eV/atom. The volume comes out at 10.37 A^3/atom.

=====

9.
## HfZnCoNi (PBE)

Data for a geometry-optimized HfZnCoNi structure.

Cell lengths 4.298, 4.298, 4.298 Å; angles 60.00, 60.00, 60.00 degrees
Fractional positions:
Co 0.500 0.500 0.500
Hf 0.250 0.250 0.250
Ni 0.750 0.750 0.750
Zn 0.000 0.000 0.000

Calculated values
The relative energy among the computed polymorphs comes out at 0.273 eV/atom. The energy of formation from the pure elements comes out at -0.084 eV/atom. The volume comes out at 14.04 A^3/atom.

=====

10.
## Rb2LiTaS4 (PBE)

Data for a geometry-optimized Rb2LiTaS4 structure.

Cell lengths 7.111, 11.477, 11.959 Å; angles 71.61, 87.74, 83.67 degrees
Fractional positions:
Li 0.778 0.477 0.071
Li 0.177 0.011 0.415
Li 0.823 0.989 0.585
Li 0.222 0.523 0.929
Rb 0.249 0.845 0.144
Rb 0.683 0.098 0.250
Rb 0.266 0.376 0.277
Rb 0.751 0.650 0.349
Rb 0.249 0.350 0.651
Rb 0.734 0.624 0.723
Rb 0.317 0.902 0.750
Rb 0.751 0.155 0.856
S 0.469 0.340 0.005
S 0.034 0.626 0.061
S 0.733 0.896 0.099
S 0.169 0.117 0.206
S 0.763 0.379 0.289
S 0.253 0.599 0.402
S 0.945 0.854 0.467
S 0.456 0.856 0.468
S 0.544 0.144 0.532
S 0.055 0.146 0.533
S 0.747 0.401 0.598
S 0.237 0.621 0.711
S 0.831 0.883 0.794
S 0.267 0.104 0.901
S 0.966 0.374 0.939
S 0.531 0.660 0.995
Ta 0.217 0.231 0.014
Ta 0.776 0.273 0.486
Ta 0.224 0.727 0.514
Ta 0.783 0.769 0.986

Calculated values
The volume comes out at 28.77 A^3/atom.

=====

11.
## SrTa2In2O7 (PBE)

Data for a geometry-optimized SrTa2In2O7 structure.

Cell lengths 11.463, 11.463, 11.463 Å; angles 160.03, 160.03, 28.39 degrees
Fractional positions:
In 0.202 0.202 0.000
In 0.798 0.798 0.000
O 0.321 0.321 0.000
O 0.500 0.500 0.000
O 0.679 0.679 0.000
O 0.585 0.085 0.500
O 0.915 0.415 0.500
O 0.085 0.585 0.500
O 0.415 0.915 0.500
Sr 0.000 0.000 0.000
Ta 0.406 0.406 0.000
Ta 0.594 0.594 0.000

Calculated values
The volume comes out at 14.64 A^3/atom.

=====

12.
## Pr7Pd3 (PBE)

Data for a geometry-optimized Pr7Pd3 structure.

Cell lengths 10.276, 10.276, 6.479 Å; angles 90.00, 90.00, 120.00 degrees
Fractional positions:
Pd 0.189 0.379 0.191
Pd 0.189 0.811 0.191
Pd 0.621 0.811 0.191
Pd 0.379 0.189 0.691
Pd 0.811 0.189 0.691
Pd 0.811 0.621 0.691
Pr 0.251 0.126 0.243
Pr 0.874 0.126 0.243
Pr 0.874 0.749 0.243
Pr 0.667 0.333 0.446
Pr 0.076 0.538 0.448
Pr 0.462 0.538 0.448
Pr 0.462 0.924 0.448
Pr 0.126 0.251 0.743
Pr 0.126 0.874 0.743
Pr 0.749 0.874 0.743
Pr 0.333 0.667 0.946
Pr 0.538 0.076 0.948
Pr 0.538 0.462 0.948
Pr 0.924 0.462 0.948

Calculated values
The energy of formation from the pure elements comes out at -0.486 eV/atom. The volume comes out at 29.63 A^3/atom.

=====

13.
## RbLiHfSe3 (PBE)

Data for a geometry-optimized RbLiHfSe3 structure.

Cell lengths 8.711, 3.980, 10.204 Å; angles 90.00, 111.96, 90.00 degrees
Fractional positions:
Hf 0.183 0.750 0.158
Hf 0.817 0.250 0.842
Li 0.424 0.250 0.401
Li 0.576 0.750 0.599
Rb 0.749 0.750 0.288
Rb 0.251 0.250 0.712
Se 0.957 0.250 0.133
Se 0.384 0.250 0.145
Se 0.265 0.750 0.431
Se 0.735 0.250 0.569
Se 0.616 0.750 0.855
Se 0.043 0.750 0.867

Calculated values
The relative energy among the computed polymorphs comes out at 0.005 eV/atom. The volume comes out at 27.35 A^3/atom.

=====

14.
## TbY2Sn4Pb3 (PBE)

Data for a geometry-optimized TbY2Sn4Pb3 structure.

Cell lengths 13.520, 13.520, 4.577 Å; angles 90.00, 90.00, 161.10 degrees
Fractional positions:
Pb 0.901 0.099 0.000
Pb 0.099 0.901 0.000
Pb 0.000 0.000 0.500
Sn 0.711 0.289 0.000
Sn 0.289 0.711 0.000
Sn 0.597 0.403 0.500
Sn 0.403 0.597 0.500
Tb 0.500 0.500 0.000
Y 0.809 0.191 0.500
Y 0.191 0.809 0.500

Calculated values
The relative energy among the computed polymorphs comes out at 0.000 eV/atom. The volume comes out at 27.09 A^3/atom.

=====

15.
## Al2CuAu2 (PBE)

Data for a geometry-optimized Al2CuAu2 structure.

Cell lengths 6.685, 6.685, 6.685 Å; angles 146.40, 146.40, 48.26 degrees
Fractional positions:
Al 0.400 0.400 0.000
Al 0.600 0.600 0.000
Au 0.750 0.250 0.500
Au 0.250 0.750 0.500
Cu 0.000 0.000 0.000

Calculated values
The relative energy among the computed polymorphs comes out at 0.126 eV/atom. The volume comes out at 18.22 A^3/atom.

=====

16.
## DyY2Al3Si2Pt (PBE)

Data for a geometry-optimized DyY2Al3Si2Pt structure.

Cell lengths 4.220, 6.922, 6.922 Å; angles 120.01, 90.00, 90.00 degrees
Fractional positions:
Al 0.500 0.237 0.000
Al 0.500 0.000 0.237
Al 0.500 0.763 0.763
Dy 0.000 0.417 0.417
Pt 0.000 0.001 0.001
Si 0.500 0.666 0.333
Si 0.500 0.333 0.666
Y 0.000 0.582 0.000
Y 0.000 0.000 0.582

Calculated values
The volume comes out at 19.45 A^3/atom.

=====

17.
## PmNbAs (PBE)

Data for a geometry-optimized PmNbAs structure.

Cell lengths 4.921, 4.921, 4.921 Å; angles 60.00, 60.00, 60.00 degrees
Fractional positions:
As 0.250 0.250 0.250
Nb 0.750 0.750 0.750
Pm 0.000 0.000 0.000

Calculated values
The relative energy among the computed polymorphs comes out at 0.982 eV/atom. The volume comes out at 28.09 A^3/atom.

=====

18.
## ScInCuIr (PBE)

Data for a geometry-optimized ScInCuIr structure.

Cell lengths 4.576, 4.576, 4.576 Å; angles 60.00, 60.00, 60.00 degrees
Fractional positions:
Cu 0.750 0.750 0.750
In 0.000 0.000 0.000
Ir 0.250 0.250 0.250
Sc 0.500 0.500 0.500

Calculated values
The relative energy among the computed polymorphs comes out at 0.000 eV/atom. The volume comes out at 16.93 A^3/atom.

=====

19.
## AgIrAu2 (PBE)

Data for a geometry-optimized AgIrAu2 structure.

Cell lengths 4.586, 4.586, 4.586 Å; angles 60.00, 60.00, 60.00 degrees
Fractional positions:
Ag 0.750 0.750 0.750
Au 0.000 0.000 0.000
Au 0.250 0.250 0.250
Ir 0.500 0.500 0.500

Calculated values
The energy of formation from the pure elements comes out at 0.417 eV/atom. The volume comes out at 17.05 A^3/atom.

=====

20.
## CdInFePt (PBE)

Data for a geometry-optimized CdInFePt structure.

Cell lengths 4.602, 4.602, 4.602 Å; angles 60.00, 60.00, 60.00 degrees
Fractional positions:
Cd 0.500 0.500 0.500
Fe 0.750 0.750 0.750
In 0.000 0.000 0.000
Pt 0.250 0.250 0.250

Calculated values
The relative energy among the computed polymorphs comes out at 0.000 eV/atom. The volume comes out at 17.23 A^3/atom.

=====

| no. | final energy (eV/atom) |
| --- | --- |
| 1 | -5.157 |
| 2 | -4.255 |
| 3 | -6.570 |
| 4 | -6.681 |
| 5 | -3.288 |
| 6 | -4.152 |
| 7 | -2.145 |
| 8 | -6.928 |
| 9 | -6.058 |
| 10 | -5.296 |
| 11 | -7.819 |
| 12 | -5.381 |
| 13 | -5.230 |
| 14 | -4.930 |
| 15 | -3.466 |
| 16 | -5.956 |
| 17 | -5.753 |
| 18 | -5.860 |
| 19 | -4.136 |
| 20 | -4.494 |